The following is a DFT calculation (GGA-PBE) of crystalline ZrAg2Ru at its relaxed geometry.

Structure (CIF):
```
data_ZrAg2Ru
_chemical_formula_sum 'Zr1 Ag2 Ru1'
_space_group_name_H-M_alt 'P 4/m m m'
_space_group_IT_number 123
_space_group_name_Hall '-P 4 2'
_cell_length_a 3.657
_cell_length_b 3.657
_cell_length_c 5.407
_cell_angle_alpha 90.00
_cell_angle_beta 90.00
_cell_angle_gamma 90.00
loop_
_atom_site_label
_atom_site_type_symbol
_atom_site_fract_x
_atom_site_fract_y
_atom_site_fract_z
_atom_site_occupancy
Zr1 Zr 0.000 0.000 0.000 1
Ag1 Ag 0.500 0.500 0.254 1
Ru1 Ru 0.000 0.000 0.500 1
```

Results
Energy above the lowest structure with this stoichiometry: 0.3123 eV per atom